Record 1
Computed, not measured: a relaxed structure of RhBrCl2 at the GGA-PBE level of DFT.

Computed properties:
The polymorph energy (0 for the lowest one) is 941 meV/atom. The formation energy without anion corrections is 0.531 eV/atom. For the density of states at the Fermi level, the calculation gives 0.951 states/eV per atom. As for the magnetic moment: 1.64 μB/f.u.

Structure (POSCAR):
```
RhBrCl2
1.0
3.603 0.000 0.000
0.000 6.985 0.000
0.000 0.000 3.900
Rh Br Cl
1 1 2
direct
0.500 0.000 0.500
0.000 0.500 0.500
0.000 0.000 0.000
0.500 0.500 0.000
```

***

Record 2
Computed, not measured: a relaxed structure of Rh2BrCl at the GGA-PBE level of DFT.

Computed properties:
The polymorph energy (0 for the lowest one) is 0 meV/atom. The formation energy without anion corrections is -0.033 eV/atom. For the density of states at the Fermi level, the calculation gives 1.168 states/eV per atom. As for the magnetic moment: 0.00 μB/f.u.

Structure (POSCAR):
```
Rh2BrCl
1.0
7.364 -0.632 -0.373
6.698 3.125 -0.373
6.698 1.187 2.914
Rh Br Cl
2 1 1
direct
0.986 0.986 0.986
0.267 0.267 0.267
0.535 0.535 0.535
0.712 0.712 0.712
```

***

Record 3
Computed, not measured: a relaxed structure of RhBr2Cl at the GGA-PBE level of DFT.

Computed properties:
The polymorph energy (0 for the lowest one) is 249 meV/atom. The formation energy without anion corrections is -0.090 eV/atom. As for the magnetic moment: 0.00 μB/f.u.

Structure (POSCAR):
```
RhBr2Cl
1.0
8.196 -0.009 -0.005
7.365 3.598 -0.005
7.365 1.698 3.172
Rh Br Cl
1 2 1
direct
0.746 0.746 0.746
0.022 0.022 0.022
0.264 0.264 0.264
0.467 0.467 0.467
```

***

Record 4
Computed, not measured: a relaxed structure of RhBr2Cl at the GGA-PBE level of DFT.

Computed properties:
The polymorph energy (0 for the lowest one) is 748 meV/atom. The formation energy without anion corrections is 0.409 eV/atom. For the density of states at the Fermi level, the calculation gives 1.092 states/eV per atom. As for the magnetic moment: 1.40 μB/f.u.

Structure (POSCAR):
```
RhBr2Cl
1.0
3.228 0.000 0.000
0.000 3.228 0.000
0.000 0.000 8.877
Rh Br Cl
1 2 1
direct
0.500 0.500 0.750
0.000 0.000 0.927
0.000 0.000 0.573
0.500 0.500 0.250
```